Record 1
The following is a DFT calculation (GGA-PBE) of a geometry-optimized GdScPb2 structure.

Cell lengths 4.9495, 4.9495, 5.9774 Å; angles 65.54, 65.54, 60.00 degrees
Site moments in Bohr magnetons follow the coordinates.
Positions (direct):
Pb 0.7574 0.7574 0.7278  -0.02
Pb 0.2426 0.2426 0.2722  -0.02
Sc 0.5000 0.5000 0.5000  0.03
Gd 0.0000 0.0000 0.0000  7.02

Results
* formation energy: -0.3970 eV/atom
* energy above the most stable polymorph in this dataset: 0 kJ/mol of formula units
* total magnetic moment: 7.2 μB per cell
* DOS at the Fermi energy: 3.0 states/eV per cell

---

Record 2
The following is a DFT calculation (GGA-PBE) of a geometry-optimized GdScPb2 structure.

Cell lengths 5.3529, 5.3529, 5.3529 Å; angles 60.00, 60.00, 60.00 degrees
Site moments in Bohr magnetons follow the coordinates.
Positions (direct):
Pb 0.2500 0.2500 0.2500  -0.01
Pb 0.7500 0.7500 0.7500  -0.01
Sc 0.5000 0.5000 0.5000  0.24
Gd 0.0000 0.0000 0.0000  7.11

Results
* formation energy: -0.3380 eV/atom
* energy above the most stable polymorph in this dataset: 23 kJ/mol of formula units
* total magnetic moment: 7.7 μB per cell
* DOS at the Fermi energy: 4.9 states/eV per cell

---

Which formula does entry 2 have? GdScPb2